8
Lattice="3.634 0.000 0.000 0.000 8.620 0.000 -1.815 0.000 6.168" Properties=species:S:1:pos:R:3 comment="Tm2MgPt | the Alexandria database | PBE | optimized geometry" polymorph_energy_mev_per_atom=0 pbc="T T T"
Tm 0.000 0.482 1.686
Tm 0.000 3.828 1.686
Tm 1.818 4.792 4.482
Tm 1.818 8.138 4.482
Mg -0.001 2.155 5.404
Mg 1.819 6.465 0.765
Pt 0.001 6.465 3.043
Pt 1.817 2.155 3.125